DFT (PBEsol) results for YPRu after structural relaxation.

Geometry as CIF:
```
data_YPRu
_chemical_formula_sum 'Y4 P4 Ru4'
_symmetry_space_group_name_H-M 'F -4 3 m'
_symmetry_Int_Tables_number 216
_symmetry_space_group_name_Hall 'F -4 2 3'
_cell_length_a 6.080
_cell_length_b 6.080
_cell_length_c 6.080
_cell_angle_alpha 90.00
_cell_angle_beta 90.00
_cell_angle_gamma 90.00
loop_
_atom_site_label
_atom_site_fract_x
_atom_site_fract_y
_atom_site_fract_z
Y1 0.000 0.000 0.000
P1 0.000 0.000 0.500
Ru1 0.250 0.250 0.250
```

## Properties
crystal system = cubic
formation energy = -38.8 kJ/mol of atoms

DFT (PBEsol) results for CoReTc after structural relaxation.

Geometry as CIF:
```
data_CoReTc
_chemical_formula_sum 'Co1 Re1 Tc1'
_symmetry_space_group_name_H-M 'P 3 m 1'
_symmetry_Int_Tables_number 156
_cell_length_a 2.6625
_cell_length_b 2.6625
_cell_length_c 6.3988
_cell_angle_alpha 90.00
_cell_angle_beta 90.00
_cell_angle_gamma 120.00
loop_
_symmetry_equiv_pos_as_xyz
'x,y,z'
'-y,x-y,z'
'-x+y,-x,z'
'-y,-x,z'
'-x+y,y,z'
'x,x-y,z'
loop_
_atom_site_label
_atom_site_fract_x
_atom_site_fract_y
_atom_site_fract_z
Co1 0.0000 0.0000 0.0000
Re1 0.3333 0.6667 0.6746
Tc1 0.6667 0.3333 0.3232
```

## Properties
crystal system = trigonal
formation energy = 14.5 kJ/mol of atoms